# 1
Density functional theory data (PBE) for a relaxed structure of Ca2UGeN5.

Structure (POSCAR):
```
Ca2UGeN5
1.0
3.445 0.000 0.000
-1.723 6.812 0.000
0.000 0.000 11.410
Ca U Ge N
4 2 2 10
direct
0.870 0.739 0.840
0.074 0.149 0.655
0.130 0.261 0.340
0.926 0.851 0.155
0.785 0.570 0.544
0.215 0.430 0.044
0.564 0.128 0.914
0.436 0.872 0.414
0.358 0.716 0.012
0.703 0.407 0.919
0.497 0.994 0.778
0.280 0.560 0.656
0.947 0.895 0.505
0.642 0.284 0.512
0.297 0.593 0.419
0.503 0.006 0.278
0.720 0.440 0.156
0.053 0.105 0.005
```

Output
Uncorrected formation energy: -0.7156 eV per atom
Magnetization: 0.00 Bohr magnetons per cell
Space-group type: No. 36
Density of states at the Fermi level: 9.59 states/eV per cell
V: 267.8 Å³ per cell


# 2
Density functional theory data (PBE) for a relaxed structure of CaY2GeN.

Structure (POSCAR):
```
CaY2GeN
1.0
4.743 0.000 0.000
0.000 4.743 0.000
0.000 0.000 4.749
Y Ge Ca N
2 1 1 1
direct
0.000 0.500 0.000
0.500 0.000 0.000
0.500 0.500 0.500
0.000 0.000 0.500
0.000 0.000 0.000
```

Output
Uncorrected formation energy: -0.9731 eV per atom
Magnetization: 0.00 Bohr magnetons per cell
Space-group type: No. 123
Density of states at the Fermi level: 1.89 states/eV per cell
V: 106.8 Å³ per cell


# 3
Density functional theory data (PBE) for a relaxed structure of CaYGeN3.

Structure (POSCAR):
```
CaYGeN3
1.0
3.314 0.000 0.000
0.000 6.694 0.883
0.000 -1.739 9.090
Ca Y Ge N
2 2 2 6
direct
0.750 0.822 0.783
0.250 0.178 0.217
0.250 0.641 0.121
0.750 0.359 0.879
0.250 0.119 0.593
0.750 0.881 0.407
0.250 0.837 0.512
0.750 0.879 0.212
0.750 0.391 0.122
0.750 0.163 0.488
0.250 0.609 0.878
0.250 0.121 0.788
```

Output
Uncorrected formation energy: -0.7213 eV per atom
Magnetization: 0.00 Bohr magnetons per cell
Space-group type: No. 11
V: 206.7 Å³ per cell


# 4
Density functional theory data (PBE) for a relaxed structure of CaZn2GeN4.

Structure (POSCAR):
```
CaZn2GeN4
1.0
5.370 0.000 0.000
0.000 5.568 0.000
0.000 0.000 7.145
Ca Zn Ge N
2 4 2 8
direct
0.985 0.207 0.500
0.485 0.793 0.000
0.495 0.312 0.253
0.495 0.312 0.747
0.995 0.688 0.753
0.995 0.688 0.247
0.504 0.805 0.500
0.004 0.195 0.000
0.353 0.210 0.000
0.853 0.790 0.500
0.439 0.137 0.500
0.939 0.863 0.000
0.364 0.651 0.705
0.864 0.349 0.205
0.864 0.349 0.795
0.364 0.651 0.295
```

Output
Uncorrected formation energy: -0.0163 eV per atom
Magnetization: 4.02 Bohr magnetons per cell
Space-group type: No. 31
Density of states at the Fermi level: 4.85 states/eV per cell
V: 213.6 Å³ per cell


# 5
Density functional theory data (PBE) for a relaxed structure of NaCa2Ge2.

Structure (POSCAR):
```
NaCa2Ge2
1.0
3.866 0.000 0.000
0.000 3.866 0.000
1.933 1.933 10.507
Na Ge Ca
1 2 2
direct
0.000 0.000 0.000
0.750 0.250 0.500
0.250 0.750 0.500
0.366 0.366 0.268
0.634 0.634 0.732
```

Output
Magnetization: 0.00 Bohr magnetons per cell
Space-group type: No. 139
Density of states at the Fermi level: 3.81 states/eV per cell
Calculated formation energy: -107 meV per atom
Energy above the lowest structure with this stoichiometry: 360.7 meV per atom
V: 157.0 Å³ per cell


# 6
Density functional theory data (PBE) for a relaxed structure of Na3CaGe.

Structure (POSCAR):
```
Na3CaGe
1.0
5.981 0.000 0.000
0.000 5.981 0.000
0.000 0.000 5.981
Na Ge Ca
3 1 1
direct
0.000 0.500 0.000
0.000 0.000 0.500
0.500 0.000 0.000
0.500 0.500 0.500
0.000 0.000 0.000
```

Output
Magnetization: 0.00 Bohr magnetons per cell
Space-group type: No. 221
Density of states at the Fermi level: 5.33 states/eV per cell
Calculated formation energy: 905 meV per atom
Energy above the lowest structure with this stoichiometry: 742.0 meV per atom
V: 214.0 Å³ per cell


# 7
Density functional theory data (PBE) for a relaxed structure of NaCa2Ge2.

Structure (POSCAR):
```
NaCa2Ge2
1.0
-0.893 6.250 -6.438
6.031 -4.373 -5.081
-2.356 -1.706 -1.329
Na Ge Ca
2 4 4
direct
0.000 0.000 0.000
0.500 0.500 0.000
0.173 0.673 0.500
0.673 0.827 0.500
0.827 0.327 0.500
0.327 0.173 0.500
0.372 0.872 0.000
0.872 0.628 0.000
0.628 0.128 0.000
0.128 0.372 0.000
```

Output
Magnetization: 0.00 Bohr magnetons per cell
Space-group type: No. 127
Density of states at the Fermi level: 4.64 states/eV per cell
Calculated formation energy: -330 meV per atom
Energy above the lowest structure with this stoichiometry: 137.2 meV per atom
V: 260.1 Å³ per cell


# 8
Density functional theory data (PBE) for a relaxed structure of NaCa2Ge.

Structure (POSCAR):
```
NaCa2Ge
1.0
-4.727 1.228 -1.127
-0.080 -3.553 -3.535
-5.853 -8.032 4.651
Na Ge Ca
2 2 4
direct
0.500 0.500 0.000
0.250 0.750 0.500
0.000 0.000 0.000
0.750 0.250 0.500
0.656 0.125 0.250
0.094 0.625 0.250
0.375 0.344 0.750
0.875 0.906 0.750
```

Output
Magnetization: 0.00 Bohr magnetons per cell
Space-group type: No. 122
Density of states at the Fermi level: 6.48 states/eV per cell
Calculated formation energy: 141 meV per atom
V: 260.9 Å³ per cell


# 9
Density functional theory data (PBE) for a relaxed structure of NaCa2Ge2.

Structure (POSCAR):
```
NaCa2Ge2
1.0
5.019 0.000 0.000
0.000 5.019 0.000
2.509 2.509 6.005
Na Ge Ca
1 2 2
direct
0.000 0.000 0.000
0.398 0.398 0.203
0.602 0.602 0.797
0.750 0.250 0.500
0.250 0.750 0.500
```

Output
Magnetization: 0.00 Bohr magnetons per cell
Space-group type: No. 139
Density of states at the Fermi level: 7.41 states/eV per cell
Calculated formation energy: -203 meV per atom
Energy above the lowest structure with this stoichiometry: 264.7 meV per atom
V: 151.2 Å³ per cell


# 10
Density functional theory data (PBE) for a relaxed structure of NaCa2Ge.

Structure (POSCAR):
```
NaCa2Ge
1.0
3.634 0.000 0.000
0.000 3.634 0.000
0.000 0.000 9.477
Na Ge Ca
1 1 2
direct
0.500 0.500 0.500
0.500 0.500 0.000
0.000 0.000 0.814
0.000 0.000 0.186
```

Output
Magnetization: 0.00 Bohr magnetons per cell
Space-group type: No. 123
Density of states at the Fermi level: 2.49 states/eV per cell
Calculated formation energy: -288 meV per atom
V: 125.2 Å³ per cell


# 11
Density functional theory data (PBE) for a relaxed structure of Na3CaGe.

Structure (POSCAR):
```
Na3CaGe
1.0
5.621 0.000 0.000
0.000 5.621 0.000
0.000 0.000 5.621
Na Ge Ca
3 1 1
direct
0.000 0.500 0.000
0.000 0.000 0.500
0.500 0.000 0.000
0.000 0.000 0.000
0.500 0.500 0.500
```

Output
Magnetization: 0.00 Bohr magnetons per cell
Space-group type: No. 221
Density of states at the Fermi level: 2.45 states/eV per cell
Calculated formation energy: 163 meV per atom
Energy above the lowest structure with this stoichiometry: 0.0 meV per atom
V: 177.6 Å³ per cell


# 12
Density functional theory data (PBE) for a relaxed structure of NaCaGe3.

Structure (POSCAR):
```
NaCaGe3
1.0
-4.216 -1.607 3.120
3.261 -3.596 2.554
1.297 3.818 3.719
Na Ge Ca
1 3 1
direct
0.500 0.500 0.500
0.000 0.500 0.000
0.000 0.000 0.500
0.500 0.000 0.000
0.000 0.000 0.000
```

Output
Magnetization: 0.68 Bohr magnetons per cell
Space-group type: No. 221
Density of states at the Fermi level: 6.42 states/eV per cell
Calculated formation energy: 662 meV per atom
Energy above the lowest structure with this stoichiometry: 201.9 meV per atom
V: 165.1 Å³ per cell


# 13
Density functional theory data (PBE) for a relaxed structure of NaCaGe3.

Structure (POSCAR):
```
NaCaGe3
1.0
5.061 0.000 0.000
0.000 5.061 0.000
0.000 0.000 5.061
Na Ge Ca
1 3 1
direct
0.000 0.000 0.000
0.000 0.500 0.000
0.000 0.000 0.500
0.500 0.000 0.000
0.500 0.500 0.500
```

Output
Magnetization: 0.00 Bohr magnetons per cell
Space-group type: No. 221
Density of states at the Fermi level: 3.03 states/eV per cell
Calculated formation energy: 460 meV per atom
Energy above the lowest structure with this stoichiometry: 0.0 meV per atom
V: 129.7 Å³ per cell


# 14
Density functional theory data (PBE) for a relaxed structure of NaCa2Ge.

Structure (POSCAR):
```
NaCa2Ge
1.0
4.203 0.000 0.000
0.000 5.139 0.000
0.000 0.000 5.139
Na Ge Ca
1 1 2
direct
0.500 0.500 0.500
0.500 0.000 0.000
0.000 0.000 0.500
0.000 0.500 0.000
```

Output
Magnetization: 0.00 Bohr magnetons per cell
Space-group type: No. 123
Density of states at the Fermi level: 3.64 states/eV per cell
Calculated formation energy: -222 meV per atom
V: 111.0 Å³ per cell


# 15
Density functional theory data (PBE) for a relaxed structure of NaCa2Ge2.

Structure (POSCAR):
```
NaCa2Ge2
1.0
7.885 0.000 0.000
0.000 7.885 0.000
0.000 0.000 4.218
Na Ge Ca
2 4 4
direct
0.000 0.000 0.000
0.500 0.500 0.000
0.386 0.886 0.000
0.886 0.614 0.000
0.614 0.114 0.000
0.114 0.386 0.000
0.175 0.675 0.500
0.675 0.825 0.500
0.825 0.325 0.500
0.325 0.175 0.500
```

Output
Magnetization: 0.00 Bohr magnetons per cell
Space-group type: No. 127
Density of states at the Fermi level: 3.20 states/eV per cell
Calculated formation energy: -467 meV per atom
Energy above the lowest structure with this stoichiometry: 0.0 meV per atom
V: 262.2 Å³ per cell


# 16
Density functional theory data (PBE) for a relaxed structure of NaCa2GeO.

Structure (POSCAR):
```
NaCa2GeO
1.0
4.722 0.000 0.000
0.000 4.722 0.000
0.000 0.000 4.660
Na Ge Ca O
1 1 2 1
direct
0.000 0.000 0.500
0.500 0.500 0.500
0.000 0.500 0.000
0.500 0.000 0.000
0.000 0.000 0.000
```

Output
Uncorrected formation energy: -1.2830 eV per atom
Magnetization: 0.00 Bohr magnetons per cell
Space-group type: No. 123
Density of states at the Fermi level: 4.41 states/eV per cell
V: 103.9 Å³ per cell


# 17
Density functional theory data (PBE) for a relaxed structure of Na2CaGe6O14.

Structure (POSCAR):
```
Na2CaGe6O14
1.0
-3.096 -3.376 6.852
-6.931 -4.435 -0.474
2.643 -4.085 -0.793
Na Ca Ge O
2 1 6 14
direct
0.998 0.424 0.003
0.576 0.002 0.997
0.417 0.583 0.000
0.001 0.752 0.505
0.248 0.999 0.495
0.756 0.244 0.500
0.996 0.004 0.000
0.336 0.336 0.518
0.664 0.664 0.482
0.914 0.214 0.762
0.874 0.910 0.768
0.214 0.875 0.766
0.786 0.086 0.238
0.125 0.786 0.234
0.090 0.126 0.232
0.341 0.354 0.175
0.646 0.659 0.825
0.690 0.457 0.315
0.850 0.686 0.334
0.456 0.837 0.314
0.543 0.310 0.685
0.163 0.544 0.686
0.314 0.150 0.666
```

Output
Uncorrected formation energy: -1.8456 eV per atom
Magnetization: 0.02 Bohr magnetons per cell
Space-group type: No. 5
Density of states at the Fermi level: 0.00 states/eV per cell
V: 292.2 Å³ per cell


# 18
Density functional theory data (PBE) for a relaxed structure of Na2Ca3GeO6.

Structure (POSCAR):
```
Na2Ca3GeO6
1.0
5.815 0.039 -0.026
-2.872 5.056 -0.026
-1.005 -1.739 5.171
Na Ca Ge O
2 3 1 6
direct
0.333 0.667 0.000
0.667 0.333 0.000
0.171 0.829 0.500
0.829 0.171 0.500
0.500 0.500 0.500
0.000 0.000 0.000
0.923 0.632 0.761
0.802 0.802 0.215
0.077 0.368 0.239
0.632 0.923 0.761
0.198 0.198 0.785
0.368 0.077 0.239
```

Output
Uncorrected formation energy: -2.2244 eV per atom
Magnetization: 0.00 Bohr magnetons per cell
Space-group type: No. 12
Density of states at the Fermi level: 0.00 states/eV per cell
V: 152.1 Å³ per cell


# 19
Density functional theory data (PBE) for a relaxed structure of Na2CaSn2Ge3O12.

Structure (POSCAR):
```
Na2CaSn2Ge3O12
1.0
-1.249 -2.717 -10.521
-4.827 -7.557 6.264
-4.579 9.762 1.838
Na Ca Sn Ge O
8 4 8 12 48
direct
0.747 0.125 0.122
0.875 0.997 0.622
0.375 0.253 0.378
0.247 0.125 0.622
0.875 0.497 0.122
0.003 0.625 0.878
0.375 0.753 0.878
0.503 0.625 0.378
0.500 0.000 0.500
0.000 0.500 0.500
0.250 0.250 0.000
0.750 0.750 0.000
0.125 0.875 0.250
0.125 0.875 0.750
0.125 0.375 0.750
0.125 0.375 0.250
0.625 0.375 0.750
0.625 0.375 0.250
0.625 0.875 0.250
0.625 0.875 0.750
0.375 0.001 0.126
0.000 0.000 0.000
0.999 0.125 0.374
0.499 0.125 0.874
0.750 0.250 0.500
0.875 0.249 0.874
0.375 0.501 0.626
0.251 0.625 0.126
0.500 0.500 0.000
0.751 0.625 0.626
0.250 0.750 0.500
0.875 0.749 0.374
0.537 0.977 0.865
0.331 0.994 0.268
0.247 0.891 0.453
0.523 0.963 0.135
0.813 0.956 0.953
0.812 0.976 0.232
0.706 0.063 0.453
0.747 0.294 0.357
0.609 0.253 0.547
0.506 0.169 0.732
0.141 0.187 0.143
0.023 0.888 0.560
0.726 0.062 0.732
0.138 0.077 0.365
0.006 0.274 0.337
0.037 0.173 0.560
0.419 0.188 0.163
0.044 0.997 0.857
0.638 0.273 0.060
0.937 0.391 0.643
0.827 0.388 0.865
0.024 0.256 0.837
0.327 0.463 0.440
0.312 0.081 0.837
0.938 0.669 0.663
0.923 0.287 0.060
0.226 0.494 0.663
0.423 0.362 0.635
0.313 0.359 0.857
0.612 0.477 0.440
0.206 0.753 0.643
0.831 0.562 0.337
0.213 0.577 0.940
0.244 0.476 0.163
0.112 0.673 0.135
0.524 0.688 0.768
0.227 0.862 0.940
0.109 0.563 0.357
0.744 0.581 0.768
0.641 0.497 0.953
0.503 0.456 0.143
0.544 0.687 0.047
0.438 0.774 0.268
0.437 0.794 0.547
0.727 0.787 0.365
0.919 0.756 0.232
0.003 0.859 0.047
0.713 0.773 0.635
```

Output
Uncorrected formation energy: -1.8931 eV per atom
Magnetization: 0.00 Bohr magnetons per cell
Space-group type: No. 142
Density of states at the Fermi level: 0.00 states/eV per cell
V: 1007.4 Å³ per cell


# 20
Density functional theory data (PBE) for a relaxed structure of NaCa2GeOs.

Structure (POSCAR):
```
NaCa2GeOs
1.0
-2.832 2.727 -3.964
-0.218 -4.024 -2.613
-4.805 -1.361 2.496
Na Ge Os Ca
1 1 1 2
direct
0.500 0.500 0.500
0.000 0.500 0.000
0.000 0.000 0.000
0.000 0.000 0.500
0.500 0.000 0.000
```

Output
Magnetization: 0.00 Bohr magnetons per cell
Space-group type: No. 123
Density of states at the Fermi level: 1.33 states/eV per cell
Calculated formation energy: 34 meV per atom
V: 149.7 Å³ per cell